{"formula": "RbTb2Be2O6", "functional": "PBE", "state": "optimized geometry", "cell": [[-5.894, -0.504, 1.649], [-1.437, -0.745, 6.041], [-1.187, 5.587, -2.510]], "species": ["Tb", "Tb", "Be", "Be", "O", "O", "O", "O", "O", "O", "Rb"], "frac_coords": [[0.175, 0.651, 0.195], [0.825, 0.349, 0.805], [0.849, 0.301, 0.240], [0.151, 0.699, 0.760], [0.998, 0.598, 0.841], [0.932, 0.134, 0.373], [0.404, 0.600, 0.842], [0.002, 0.402, 0.159], [0.596, 0.400, 0.158], [0.068, 0.866, 0.627], [0.500, 0.000, 0.500]], "e_form_raw_ev_per_atom": -2.60, "total_energy_ev_per_atom": -6.91}


{"formula": "SrIn3Hg3", "functional": "PBE", "state": "optimized geometry", "cell": [[-2.582, -7.074, -2.585], [6.930, -3.301, 2.114], [-2.950, -1.565, 7.228]], "species": ["In", "In", "In", "In", "In", "In", "Hg", "Hg", "Hg", "Hg", "Hg", "Hg", "Sr", "Sr"], "frac_coords": [[0.250, 0.000, 0.500], [0.000, 0.500, 0.750], [0.000, 0.500, 0.250], [0.500, 0.250, 0.000], [0.750, 0.000, 0.500], [0.500, 0.750, 0.000], [0.500, 0.000, 0.250], [0.750, 0.500, 0.000], [0.250, 0.500, 0.000], [0.500, 0.000, 0.750], [0.000, 0.750, 0.500], [0.000, 0.250, 0.500], [0.500, 0.500, 0.500], [0.000, 0.000, 0.000]], "total_energy_ev_per_atom": -1.50, "polymorph_energy_mev_per_atom": 274, "e_form_kj_per_mol_atoms": 4.64}


{"formula": "ThCrB2", "functional": "PBE", "state": "optimized geometry", "cell": [[-1.507, -3.025, 1.358], [0.870, -3.251, -1.392], [3.450, -2.481, 3.187]], "species": ["Cr", "B", "B", "Th"], "frac_coords": [[0.000, 0.000, 0.000], [0.297, 0.297, 0.108], [0.703, 0.703, 0.892], [0.500, 0.500, 0.500]], "total_energy_ev_per_atom": -7.58, "e_form_kj_per_mol_atoms": 2.00}


{"formula": "InBi2Au", "functional": "PBE", "state": "optimized geometry", "cell": [[-2.928, -0.810, -1.626], [-0.072, -2.648, -2.204], [-3.744, -8.052, 7.102]], "species": ["Au", "In", "Bi", "Bi"], "frac_coords": [[0.500, 0.500, 0.500], [0.000, 0.000, 0.000], [0.903, 0.903, 0.292], [0.097, 0.097, 0.708]], "total_energy_ev_per_atom": -3.32, "e_form_kj_per_mol_atoms": 11.64}


{"formula": "La2VPPb", "functional": "PBE", "state": "optimized geometry", "cell": [[5.646, 0.000, 0.000], [0.000, 4.568, 0.000], [0.000, 0.000, 5.646]], "species": ["P", "La", "La", "V", "Pb"], "frac_coords": [[0.000, 0.000, 0.000], [0.000, 0.000, 0.500], [0.500, 0.000, 0.000], [0.000, 0.500, 0.000], [0.500, 0.500, 0.500]], "total_energy_ev_per_atom": -6.11, "e_form_kj_per_mol_atoms": -47.31}


{"formula": "Ti4NbRe", "functional": "PBE", "state": "optimized geometry", "cell": [[4.334, 0.000, 0.000], [2.167, 3.747, 0.216], [2.166, 0.837, 7.168]], "species": ["Ti", "Ti", "Ti", "Ti", "Nb", "Re"], "frac_coords": [[0.627, 0.628, 0.118], [0.122, 0.122, 0.635], [0.373, 0.372, 0.882], [0.878, 0.878, 0.365], [0.500, 0.500, 0.500], [0.000, 0.000, 0.000]], "total_energy_ev_per_atom": -8.56, "polymorph_energy_mev_per_atom": 615, "e_form_kj_per_mol_atoms": 43.61}